Computed, not measured: a PBEsol-optimized structure of BaNa2Pb2 at the SCAN level of DFT.

Properties
**Energy relative to the elements**: -9.640 kcal/mol of atoms
**V**: 30.28 A^3/atom
**Energy above the most stable polymorph in this dataset**: 63 meV/atom

POSCAR file:
```
BaNa2Pb2
1.0
9.417 0.000 0.000
0.000 9.417 0.000
0.000 0.000 3.414
Ba Na Pb
2 4 4
Direct
0.000 0.000 0.000 Ba
0.500 0.500 0.000 Ba
0.116 0.384 0.000 Na
0.384 0.884 0.000 Na
0.616 0.116 0.000 Na
0.884 0.616 0.000 Na
0.180 0.680 0.500 Pb
0.320 0.180 0.500 Pb
0.680 0.820 0.500 Pb
0.820 0.320 0.500 Pb
```

---

Computed, not measured: a PBEsol-optimized structure of AgAsI2O at the SCAN level of DFT.

Properties
**V**: 23.86 A^3/atom
**Formation energy (no corrections)**: 2.866 eV per formula unit

POSCAR file:
```
AgAsI2O
1.0
5.541 0.000 0.000
0.000 5.541 0.000
0.000 0.000 3.885
Ag As I O
1 1 2 1
Direct
0.000 0.000 0.000 Ag
0.500 0.500 0.500 As
0.000 0.500 0.000 I
0.500 0.000 0.000 I
0.000 0.000 0.500 O
```

---

no.,magnetization (Bohr magnetons per cell)
1,0.00
2,0.72